First-principles (PBE-GGA) data for a relaxed structure of NdCd3Ag6, as listed in Alexandria.

Lattice parameters (Å, degrees): 7.4231 7.2791 8.0508 103.21 90.00 90.00
Atoms (fractional coordinates):
Nd: 0.5000 0.5000 0.5000
Nd: 0.0000 0.0000 0.0000
Cd: 0.8551 0.8286 0.5588
Cd: 0.5000 0.0000 0.5000
Cd: 0.1449 0.1714 0.4412
Cd: 0.6449 0.3286 0.0588
Cd: 0.0000 0.5000 0.0000
Cd: 0.3551 0.6714 0.9412
Ag: 0.2209 0.8758 0.6665
Ag: 0.0741 0.5285 0.6653
Ag: 0.3188 0.2692 0.7917
Ag: 0.6812 0.7308 0.2083
Ag: 0.9259 0.4715 0.3347
Ag: 0.7791 0.1242 0.3335
Ag: 0.2791 0.3758 0.1665
Ag: 0.4259 0.0285 0.1653
Ag: 0.1812 0.7692 0.2917
Ag: 0.8188 0.2308 0.7083
Ag: 0.5741 0.9715 0.8347
Ag: 0.7209 0.6242 0.8335

Calculated values
- Crystal system: monoclinic
- N(E_F): 10.17 states/eV/cell
- Raw total energy: -2.538 eV per atom
- Total magnetization: 0.000 μB/f.u.
- Energy relative to the elements: -76 meV per atom